Entry from the Alexandria database: a relaxed Ba2Zn4Ga3Ge crystal (PBE).

Summary:
The formation energy is -0.336 eV/atom. The value obtained for the electronic total energy is -26.00 eV/cell. Its space group is P-4m2 (115).

Structure (extended XYZ):
```
10
Lattice="4.548 0.000 0.000 0.000 4.548 0.000 0.000 0.000 10.942" Properties=species:S:1:pos:R:3 pbc="T T T"
Ba 0.000 2.274 2.729
Ba 2.274 0.000 8.213
Zn 0.000 0.000 5.471
Zn 0.000 2.274 9.533
Zn 2.274 0.000 1.408
Zn 2.274 2.274 5.471
Ga 0.000 0.000 0.000
Ga 0.000 2.274 6.858
Ga 2.274 0.000 4.083
Ge 2.274 2.274 0.000
```